VASP calculation (PBE+U) on crystalline V5Cd3O12 at its relaxed geometry.

Cell lengths 10.8787, 10.8787, 10.8787 Å; angles 109.47, 109.47, 109.47 degrees
Closest atoms and distances in Å follow each position.
Fractional positions:
O: 0.8833 0.2984 0.4806  2 V 1.84-2.03
V: 0.8750 0.6250 0.7500  4 O 1.84
O: 0.4806 0.6822 0.0973  2 V 1.84-2.03
O: 0.6822 0.4806 0.5973  2 V 1.84-2.03
O: 0.1822 0.0849 0.7016  2 V 1.84-2.03
O: 0.5194 0.2016 0.1167  2 V 1.84-2.03
Cd: 0.3750 0.7500 0.6250  8 O 2.44-2.54
Cd: 0.8750 0.7500 0.1250  8 O 2.44-2.54
O: 0.9151 0.8178 0.7984  2 V 1.84-2.03
O: 0.5973 0.6167 0.4151  2 V 1.84-2.03
Cd: 0.2500 0.1250 0.3750  8 O 2.44-2.54
O: 0.1167 0.7016 0.5194  2 V 1.84-2.03
O: 0.2016 0.6822 0.0849  2 V 1.84-2.03
O: 0.3833 0.4027 0.0849  2 V 1.84-2.03
O: 0.9151 0.0973 0.6167  2 V 1.84-2.03
Cd: 0.8750 0.1250 0.2500  8 O 2.44-2.54
V: 0.0000 0.5000 0.5000  6 O 2.03
Cd: 0.7500 0.8750 0.6250  8 O 2.44-2.54
Cd: 0.7500 0.3750 0.1250  8 O 2.44-2.54
V: 0.6250 0.7500 0.8750  4 O 1.84
O: 0.3178 0.5194 0.4027  2 V 1.84-2.03
O: 0.7016 0.1167 0.0194  2 V 1.84-2.03
V: 0.7500 0.6250 0.3750  4 O 1.84
O: 0.5849 0.7016 0.6822  2 V 1.84-2.03
O: 0.9806 0.5973 0.1822  2 V 1.84-2.03
O: 0.4027 0.0194 0.3178  2 V 1.84-2.03
O: 0.0973 0.9151 0.1167  2 V 1.84-2.03
O: 0.7984 0.3178 0.9151  2 V 1.84-2.03
O: 0.6167 0.0194 0.2016  2 V 1.84-2.03
V: 0.3750 0.2500 0.1250  4 O 1.84
V: 0.0000 0.0000 0.5000  6 O 2.03
O: 0.5194 0.3178 0.9027  2 V 1.84-2.03
Cd: 0.1250 0.8750 0.7500  8 O 2.44-2.54
Cd: 0.3750 0.6250 0.2500  8 O 2.44-2.54
O: 0.0194 0.4027 0.8178  2 V 1.84-2.03
O: 0.7984 0.4806 0.3833  2 V 1.84-2.03
O: 0.2016 0.5194 0.6167  2 V 1.84-2.03
O: 0.0849 0.1822 0.2016  2 V 1.84-2.03
Cd: 0.6250 0.2500 0.3750  8 O 2.44-2.54
V: 0.7500 0.1250 0.8750  4 O 1.84
Cd: 0.2500 0.6250 0.8750  8 O 2.44-2.54
O: 0.1167 0.4151 0.0973  2 V 1.84-2.03
O: 0.4151 0.1167 0.5973  2 V 1.84-2.03
V: 0.5000 0.0000 0.0000  6 O 2.03
O: 0.4806 0.7984 0.8833  2 V 1.84-2.03
O: 0.5973 0.9806 0.6822  2 V 1.84-2.03
V: 0.8750 0.2500 0.6250  4 O 1.84
O: 0.2984 0.8833 0.9806  2 V 1.84-2.03
V: 0.5000 0.0000 0.5000  6 O 2.03
O: 0.9027 0.8178 0.5194  2 V 1.84-2.03
O: 0.6167 0.5973 0.9151  2 V 1.84-2.03
V: 0.0000 0.0000 0.0000  6 O 2.03
O: 0.2984 0.4151 0.8178  2 V 1.84-2.03
V: 0.1250 0.7500 0.3750  4 O 1.84
V: 0.1250 0.3750 0.2500  4 O 1.84
O: 0.3833 0.9806 0.7984  2 V 1.84-2.03
V: 0.2500 0.8750 0.1250  4 O 1.84
O: 0.7016 0.5849 0.1822  2 V 1.84-2.03
O: 0.0973 0.1822 0.4806  2 V 1.84-2.03
V: 0.0000 0.5000 0.0000  6 O 2.03
V: 0.6250 0.8750 0.2500  4 O 1.84
O: 0.6822 0.2016 0.5849  2 V 1.84-2.03
O: 0.3178 0.7984 0.4151  2 V 1.84-2.03
V: 0.2500 0.3750 0.6250  4 O 1.84
O: 0.8178 0.9151 0.2984  2 V 1.84-2.03
V: 0.5000 0.5000 0.0000  6 O 2.03
O: 0.5849 0.8833 0.4027  2 V 1.84-2.03
O: 0.4151 0.2984 0.3178  2 V 1.84-2.03
O: 0.1822 0.0973 0.9806  2 V 1.84-2.03
Cd: 0.1250 0.2500 0.8750  8 O 2.44-2.54
Cd: 0.6250 0.3750 0.7500  8 O 2.44-2.54
O: 0.8178 0.9027 0.0194  2 V 1.84-2.03
O: 0.4027 0.3833 0.5849  2 V 1.84-2.03
V: 0.5000 0.5000 0.5000  6 O 2.03
O: 0.0194 0.6167 0.7016  2 V 1.84-2.03
O: 0.8833 0.5849 0.9027  2 V 1.84-2.03
O: 0.0849 0.9027 0.3833  2 V 1.84-2.03
O: 0.9027 0.0849 0.8833  2 V 1.84-2.03
O: 0.9806 0.3833 0.2984  2 V 1.84-2.03
V: 0.3750 0.1250 0.7500  4 O 1.84

Properties
- Density: 5.25 g/cm3
- Electronic total energy: -530.0 eV for the cell shown
- Total moment: 7.00 μB per formula unit
- Space-group type: No. 230
- Crystal system: cubic